The following is a PBE-GGA calculation of a geometry-optimized NaCu2Pt structure, from Alexandria.

Summary:
- energy of formation from the pure elements (eV/atom) = 0.32
- excess energy over the best structure of this formula in the dataset (meV/atom) = 319

CIF file:
```
data_NaCu2Pt
_chemical_formula_sum 'Na4 Cu8 Pt4'
_cell_length_a 4.1805
_cell_length_b 4.1805
_cell_length_c 17.5430
_cell_angle_alpha 90.00
_cell_angle_beta 90.00
_cell_angle_gamma 90.00
_space_group_name_H-M_alt 'I -4 2 d'
_space_group_IT_number 122
_space_group_name_Hall 'I -4 2bw'
loop_
_atom_site_label
_atom_site_fract_x
_atom_site_fract_y
_atom_site_fract_z
Na1 0.0000 0.0000 0.0000
Cu1 0.1376 0.2500 0.6250
Pt1 0.0000 0.0000 0.5000
```

The following is a PBE-GGA calculation of a geometry-optimized Na2CuPt2 structure, from Alexandria.

Summary:
- energy of formation from the pure elements (eV/atom) = 0.23
- excess energy over the best structure of this formula in the dataset (meV/atom) = 381

CIF file:
```
data_Na2CuPt2
_chemical_formula_sum 'Na4 Cu2 Pt4'
_cell_length_a 3.6502
_cell_length_b 3.6502
_cell_length_c 16.9436
_cell_angle_alpha 90.00
_cell_angle_beta 90.00
_cell_angle_gamma 90.00
_space_group_name_H-M_alt 'I 4/m m m'
_space_group_IT_number 139
_space_group_name_Hall '-I 4 2'
loop_
_atom_site_label
_atom_site_fract_x
_atom_site_fract_y
_atom_site_fract_z
Na1 0.0000 0.0000 0.1064
Cu1 0.0000 0.0000 0.5000
Pt1 0.0000 0.5000 0.2500
```

Q: Which of these has the lowest excess energy over the best structure of this formula in the dataset?
A: NaCu2Pt

Q: Which formula does entry 1 have?
A: NaCu2Pt